Arrangement P

First-principles (PBE-GGA) data for crystalline NbMoHRu2 at its relaxed geometry, as listed in Alexandria.

Values from the calculation:
Spin magnetization (μB per atom): 0.0000
Density of states at the Fermi level (states/eV/atom): 1.16

```
NbMoHRu2
1.0
3.973 0.000 0.000
0.000 3.973 0.000
0.000 0.000 4.034
Nb Mo H Ru
1 1 1 2
Cartesian
0.000 0.000 0.000
1.986 1.986 0.000
0.000 0.000 2.017
0.000 1.986 2.017
1.986 0.000 2.017
```


Arrangement Q

First-principles (PBE-GGA) data for crystalline NbMoHRu2 at its relaxed geometry, as listed in Alexandria.

Values from the calculation:
Spin magnetization (μB per atom): 0.0000
Density of states at the Fermi level (states/eV/atom): 1.09

```
NbMoHRu2
1.0
3.988 0.000 0.000
0.000 3.988 0.000
0.000 0.000 4.001
Nb Mo H Ru
1 1 1 2
Cartesian
0.000 0.000 0.000
1.994 1.994 0.000
1.994 1.994 2.001
0.000 1.994 2.001
1.994 0.000 2.001
```


Stability check: which of them is least stable? arrangement P.


Arrangement P

First-principles (PBE-GGA) data for crystalline TaNbSiMoH at its relaxed geometry, as listed in Alexandria.

Values from the calculation:
Spin magnetization (μB per atom): 0.0000
Density of states at the Fermi level (states/eV/atom): 0.34

```
TaNbSiMoH
1.0
10.894 0.000 0.000
0.000 3.355 0.000
-1.526 0.000 3.809
Ta Nb Si Mo H
2 2 2 2 2
Cartesian
0.000 0.000 0.000
5.447 1.677 0.000
1.540 0.000 2.861
6.987 1.677 2.861
2.944 1.677 1.208
8.391 0.000 1.208
-0.670 1.677 1.938
4.777 0.000 1.938
1.826 0.000 0.677
7.273 1.677 0.677
```


Arrangement Q

First-principles (PBE-GGA) data for crystalline TaNbSiMoH at its relaxed geometry, as listed in Alexandria.

Values from the calculation:
Spin magnetization (μB per atom): 0.0000
Density of states at the Fermi level (states/eV/atom): 0.37

```
TaNbSiMoH
1.0
3.379 0.000 0.000
0.000 3.213 0.000
0.000 0.000 13.104
Ta Nb Si Mo H
2 2 2 2 2
Cartesian
0.000 0.000 0.000
0.000 1.606 6.552
1.690 0.000 4.582
1.690 1.606 11.134
0.000 0.000 2.695
0.000 1.606 9.247
1.690 0.000 8.150
1.690 1.606 1.598
1.690 0.000 12.111
1.690 1.606 5.559
```


Arrangement R

First-principles (PBE-GGA) data for crystalline TaNbSiMoH at its relaxed geometry, as listed in Alexandria.

Values from the calculation:
Spin magnetization (μB per atom): 0.0000
Density of states at the Fermi level (states/eV/atom): 0.65

```
TaNbSiMoH
1.0
3.287 0.000 0.000
0.000 3.327 0.000
0.000 0.000 6.272
Ta Nb Si Mo H
1 1 1 1 1
Cartesian
0.000 0.000 0.000
1.643 1.663 2.037
0.000 0.000 3.487
1.643 1.663 4.811
0.000 1.663 1.048
```


Stability check: which of them is least stable? arrangement P.


Arrangement P

First-principles (PBE-GGA) data for crystalline TaNbSiMoH at its relaxed geometry, as listed in Alexandria.

Values from the calculation:
Spin magnetization (μB per atom): 0.0000
Density of states at the Fermi level (states/eV/atom): 0.44

```
TaNbSiMoH
1.0
3.279 0.000 0.000
-1.081 4.887 0.000
-1.141 -2.329 4.307
Ta Nb Si Mo H
1 1 1 1 1
Cartesian
0.000 0.000 0.000
1.048 -0.498 2.537
-0.545 1.582 2.429
1.044 2.400 0.571
1.616 3.902 1.563
```


Arrangement Q

First-principles (PBE-GGA) data for crystalline TaNbSiMoH at its relaxed geometry, as listed in Alexandria.

Values from the calculation:
Spin magnetization (μB per atom): 0.0000
Density of states at the Fermi level (states/eV/atom): 0.57

```
TaNbSiMoH
1.0
9.254 0.000 0.000
0.000 3.286 0.000
-1.411 0.000 4.471
Ta Nb Si Mo H
2 2 2 2 2
Cartesian
0.000 0.000 0.000
4.627 1.643 0.000
1.193 0.000 3.288
5.821 1.643 3.288
3.852 0.000 2.064
8.479 1.643 2.064
2.005 1.643 1.292
6.632 0.000 1.292
-0.109 1.643 4.049
4.519 0.000 4.049
```


Arrangement R

First-principles (PBE-GGA) data for crystalline TaNbSiMoH at its relaxed geometry, as listed in Alexandria.

Values from the calculation:
Spin magnetization (μB per atom): 0.0000
Density of states at the Fermi level (states/eV/atom): 0.52

```
TaNbSiMoH
1.0
10.508 0.000 0.000
0.000 3.250 0.000
-1.473 0.000 4.030
Ta Nb Si Mo H
2 2 2 2 2
Cartesian
0.000 0.000 0.000
5.254 1.625 0.000
2.276 1.625 0.959
7.530 0.000 0.959
1.067 0.000 2.706
6.320 1.625 2.706
4.450 0.000 2.029
9.704 1.625 2.029
3.637 0.000 0.365
8.891 1.625 0.365
```


Stability check: which of them is least stable? arrangement Q.


Arrangement P

First-principles (PBE-GGA) data for crystalline TaNbSiMoH at its relaxed geometry, as listed in Alexandria.

Values from the calculation:
Spin magnetization (μB per atom): 0.0000
Density of states at the Fermi level (states/eV/atom): 0.63

```
TaNbSiMoH
1.0
3.004 0.000 0.000
0.824 4.829 0.000
0.030 1.321 4.824
Ta Nb Si Mo H
1 1 1 1 1
Cartesian
0.000 0.000 0.000
2.774 4.133 2.714
0.345 1.503 2.258
1.790 2.449 0.442
1.553 2.444 3.991
```


Arrangement Q

First-principles (PBE-GGA) data for crystalline TaNbSiMoH at its relaxed geometry, as listed in Alexandria.

Values from the calculation:
Spin magnetization (μB per atom): 0.0000
Density of states at the Fermi level (states/eV/atom): 0.44

```
TaNbSiMoH
1.0
9.876 0.000 0.000
0.000 3.306 0.000
-0.084 0.000 4.277
Ta Nb Si Mo H
2 2 2 2 2
Cartesian
0.000 0.000 0.000
4.938 1.653 0.000
2.149 1.653 2.026
7.087 0.000 2.026
2.666 0.000 4.204
7.604 1.653 4.204
4.338 0.000 2.072
9.277 1.653 2.072
0.694 1.653 3.389
5.632 0.000 3.389
```


Arrangement R

First-principles (PBE-GGA) data for crystalline TaNbSiMoH at its relaxed geometry, as listed in Alexandria.

Values from the calculation:
Spin magnetization (μB per atom): 0.0000
Density of states at the Fermi level (states/eV/atom): 0.53

```
TaNbSiMoH
1.0
4.243 0.000 0.000
0.000 3.258 0.000
0.000 0.000 9.990
Ta Nb Si Mo H
2 2 2 2 2
Cartesian
0.000 0.000 0.000
0.000 1.629 4.995
2.121 0.000 7.081
2.121 1.629 2.086
0.000 0.000 2.735
0.000 1.629 7.731
2.121 0.000 4.370
2.121 1.629 9.365
2.121 0.000 0.459
2.121 1.629 5.454
```


Arrangement S

First-principles (PBE-GGA) data for crystalline TaNbSiMoH at its relaxed geometry, as listed in Alexandria.

Values from the calculation:
Spin magnetization (μB per atom): 0.0000
Density of states at the Fermi level (states/eV/atom): 0.63

```
TaNbSiMoH
1.0
9.579 0.000 0.000
0.000 3.283 0.000
-1.331 0.000 4.367
Ta Nb Si Mo H
2 2 2 2 2
Cartesian
0.000 0.000 0.000
4.789 1.642 0.000
2.105 1.642 1.082
6.895 0.000 1.082
1.422 0.000 3.328
6.212 1.642 3.328
-0.478 1.642 2.354
4.312 0.000 2.354
3.506 1.642 2.396
8.296 0.000 2.396
```


Stability check: which of them is least stable? arrangement S.